# ZnHg3Mo

An optimized crystal structure of ZnHg3Mo (PBE, Alexandria via LeMat-Bulk).

Lattice parameters (Å, degrees): 5.548 5.548 5.548 90.00 90.00 90.00
Space group Pm-3m (No. 221)
Symmetry-distinct sites (fractional):
1 Zn 0.000 0.000 0.000 [1 per cell]
2 Hg 0.000 0.500 0.500 [3 per cell]
3 Mo 0.500 0.500 0.500 [1 per cell]

Results
E: -1.72 eV/atom
Fermi-level density of states: 2.94 states/eV per cell
ρ: 7.42 g cm⁻³
Formation energy from the elements: 0.88 eV/atom
Energy above the lowest structure with this stoichiometry: 0 meV per atom


# Zn2HgMo

An optimized crystal structure of Zn2HgMo (PBE, Alexandria via LeMat-Bulk).

Lattice parameters (Å, degrees): 2.815 4.382 5.479 90.00 90.25 90.00
Space group P2/m (No. 10)
Symmetry-distinct sites (fractional):
1 Zn 0.013 0.000 0.218 [2 per cell]
2 Hg 0.000 0.500 0.500 [1 per cell]
3 Mo 0.500 0.500 0.000 [1 per cell]

Results
E: -3.14 eV/atom
Fermi-level density of states: 2.03 states/eV per cell
ρ: 10.50 g cm⁻³
Formation energy from the elements: 0.28 eV/atom


# ZnHgMo4

An optimized crystal structure of ZnHgMo4 (PBE, Alexandria via LeMat-Bulk).

Lattice parameters (Å, degrees): 7.487 7.487 7.487 90.00 90.00 90.00
Space group F-43m (No. 216)
Symmetry-distinct sites (fractional):
1 Zn 0.000 0.000 0.000 [4 per cell]
2 Hg 0.250 0.250 0.750 [4 per cell]
3 Mo 0.125 0.125 0.375 [16 per cell]

Results
E: -6.87 eV/atom
Fermi-level density of states: 35.63 states/eV per cell
ρ: 10.28 g cm⁻³
Formation energy from the elements: 0.61 eV/atom


# Zn2HgMo

An optimized crystal structure of Zn2HgMo (PBE, Alexandria via LeMat-Bulk).

Lattice parameters (Å, degrees): 2.9124 2.9124 27.8284 90.00 90.00 120.00
Space group R3m (No. 160, hexagonal axes)
Symmetry-distinct sites (fractional):
1 Zn 0.0000 0.0000 0.0000 [3 per cell]
2 Zn 0.0000 0.0000 0.2568 [3 per cell]
3 Hg 0.0000 0.0000 0.7568 [3 per cell]
4 Mo 0.0000 0.0000 0.5120 [3 per cell]

Results
E: -3.07 eV/atom
Fermi-level density of states: 9.26 states/eV per cell
ρ: 10.41 g cm⁻³
Formation energy from the elements: 0.35 eV/atom


# Zn4HgMo

An optimized crystal structure of Zn4HgMo (PBE, Alexandria via LeMat-Bulk).

Lattice parameters (Å, degrees): 7.238 7.238 7.238 90.00 90.00 90.00
Space group F-43m (No. 216)
Symmetry-distinct sites (fractional):
1 Zn 0.124 0.124 0.376 [16 per cell]
2 Hg 0.000 0.000 0.000 [4 per cell]
3 Mo 0.250 0.250 0.750 [4 per cell]

Results
E: -2.36 eV/atom
Fermi-level density of states: 16.95 states/eV per cell
ρ: 9.78 g cm⁻³
Formation energy from the elements: 0.35 eV/atom


# Zn2HgMo

An optimized crystal structure of Zn2HgMo (PBE, Alexandria via LeMat-Bulk).

Lattice parameters (Å, degrees): 3.848 3.848 8.978 90.00 90.00 90.00
Space group I-4m2 (No. 119)
Symmetry-distinct sites (fractional):
1 Zn 0.000 0.000 0.000 [2 per cell]
2 Zn 0.000 0.500 0.250 [2 per cell]
3 Hg 0.000 0.500 0.750 [2 per cell]
4 Mo 0.000 0.000 0.500 [2 per cell]

Results
E: -3.04 eV/atom
Fermi-level density of states: 5.21 states/eV per cell
ρ: 10.68 g cm⁻³
Formation energy from the elements: 0.38 eV/atom